A plane-wave DFT calculation with GGA-PBE was carried out for a relaxed structure of DyTh3Bi4.

It has space group Cmmm (No. 65), with a = 9.150 Å, b = 12.922 Å, c = 4.565 Å, α = 90.00°, β = 90.00° and γ = 90.00°. Symmetry generates all atoms from Dy at (0.000, 0.000, 0.000), Th at (0.000, 0.500, 0.000), Th at (0.250, 0.250, 0.500), Bi at (0.000, 0.246, 0.000) and Bi at (0.243, 0.000, 0.500).

Its density of states at the Fermi level is 10.4 states/eV per cell. The calculation puts the formation energy at -5.034 eV per formula unit. As for the total magnetization: 0.000 μB/atom.